Below is crystalline NaCaEuZn at its relaxed geometry, with properties calculated at the GGA-PBE level.

a b c (Å): 5.582 5.582 5.582
angles (deg): 60.00 60.00 60.00
Each line ends with the local moment (μB).
Fractional coordinates of all 4 atoms:
Zn1 0.000 0.000 0.000  0.04
Na1 0.500 0.500 0.500  0.01
Ca1 0.250 0.250 0.250  0.04
Eu1 0.750 0.750 0.750  6.96

Output
D(E_F): 10.3 states/eV/f.u.
VASP energy: -3.736 eV per atom